Here is a geometry-optimized TcNi2IrO structure from Alexandria. Energies are from PBE with a Hubbard U.

As for the volume: 18.2 Å³/atom. Its total energy is -3.4435 eV/atom. For the size of the total moment, the calculation gives 0.95 μB/cell.

It has space group P4/mmm (No. 123), with a = 4.434 Å, b = 4.434 Å, c = 4.631 Å, α = 90.00°, β = 90.00° and γ = 90.00°. The inequivalent atoms are Tc at (0.000, 0.000, 0.000), Ni at (0.000, 0.500, 0.000), Ir at (0.000, 0.000, 0.500) and O at (0.500, 0.500, 0.500).